# 1
VASP calculation (GGA-PBE) on crystalline MgZnNiTe3 at its relaxed geometry.

Lattice parameters (Å, degrees): 3.947 13.762 10.307 90.00 90.00 90.00
Space group Cmcm (No. 63)
Asymmetric unit:
Mg: 0.000 0.226 0.250 (multiplicity 4)
Zn: 0.000 0.476 0.750 (multiplicity 4)
Ni: 0.000 0.000 0.000 (multiplicity 4)
Te: 0.000 0.101 0.750 (multiplicity 4)
Te: 0.000 0.365 0.546 (multiplicity 8)

Calculated values
The calculation puts the total energy at -3.139 eV/atom. For the total magnetization, the calculation gives 0.05 μB/cell. The density comes out at 6.30 g cm⁻³.

=====

# 2
VASP calculation (GGA-PBE) on crystalline ThMgNi at its relaxed geometry.

Lattice parameters (Å, degrees): 6.547 6.547 6.547 90.00 90.00 90.00
Space group F-43m (No. 216)
Asymmetric unit:
Th: 0.000 0.000 0.000 (multiplicity 4)
Mg: 0.000 0.000 0.500 (multiplicity 4)
Ni: 0.250 0.250 0.250 (multiplicity 4)

Calculated values
The calculation puts the total energy at -4.976 eV/atom. For the total magnetization, the calculation gives 0.00 μB/cell. The density comes out at 7.46 g cm⁻³.

=====

# 3
VASP calculation (GGA-PBE) on crystalline MgTlNi at its relaxed geometry.

Lattice parameters (Å, degrees): 6.218 6.218 6.218 90.00 90.00 90.00
Space group F-43m (No. 216)
Asymmetric unit:
Mg: 0.000 0.000 0.000 (multiplicity 4)
Tl: 0.000 0.000 0.500 (multiplicity 4)
Ni: 0.250 0.250 0.250 (multiplicity 4)

Calculated values
The calculation puts the total energy at -3.127 eV/atom. For the total magnetization, the calculation gives 0.04 μB/cell. The density comes out at 7.94 g cm⁻³.

=====

# 4
VASP calculation (GGA-PBE) on crystalline TmMgTl4Ni2 at its relaxed geometry.

Lattice parameters (Å, degrees): 8.422 3.783 10.879 90.00 90.00 90.00
Space group Amm2 (No. 38)
Asymmetric unit:
Tm: 0.000 0.000 0.000 (multiplicity 2)
Mg: 0.500 0.000 0.854 (multiplicity 2)
Tl: 0.205 0.000 0.292 (multiplicity 4)
Tl: 0.304 0.000 0.568 (multiplicity 4)
Ni: 0.000 0.000 0.692 (multiplicity 2)
Ni: 0.500 0.000 0.165 (multiplicity 2)

Calculated values
The calculation puts the total energy at -3.357 eV/atom. For the total magnetization, the calculation gives 0.00 μB/cell. The density comes out at 10.81 g cm⁻³.

=====

# 5
VASP calculation (GGA-PBE) on crystalline TmMg2Ni9 at its relaxed geometry.

Lattice parameters (Å, degrees): 4.8140 4.8140 23.5315 90.00 90.00 120.00
Space group R-3m (No. 166, hexagonal axes)
Asymmetric unit:
Tm: 0.0000 0.0000 0.0000 (multiplicity 3)
Mg: 0.0000 0.0000 0.1435 (multiplicity 6)
Ni: 0.0000 0.0000 0.3336 (multiplicity 6)
Ni: 0.0000 0.0000 0.5000 (multiplicity 3)
Ni: 0.0025 0.5012 0.9158 (multiplicity 18)

Calculated values
The calculation puts the total energy at -5.098 eV/atom. For the total magnetization, the calculation gives 6.33 μB/cell. The density comes out at 7.87 g cm⁻³.

=====

# 6
VASP calculation (GGA-PBE) on crystalline MgUNi at its relaxed geometry.

Lattice parameters (Å, degrees): 6.464 6.464 6.464 90.00 90.00 90.00
Space group F-43m (No. 216)
Asymmetric unit:
Mg: 0.000 0.000 0.000 (multiplicity 4)
U: 0.250 0.250 0.250 (multiplicity 4)
Ni: 0.250 0.250 0.750 (multiplicity 4)

Calculated values
The calculation puts the total energy at -4.611 eV/atom. For the total magnetization, the calculation gives 17.27 μB/cell. The density comes out at 7.90 g cm⁻³.